Entry 1:
5
Lattice="-3.6829 3.5849 1.7417 -3.9599 -3.5603 -1.0452 0.4522 -1.9803 5.0322" Properties=species:S:1:pos:R:3 comment="SrGaSb3 GGA-PBE relaxed" sg="Pm-3m (221)" volume_a3_per_atom=32.0 e_above_lowest_polymorph_mev_per_atom=0 magnetic_moment_mub_per_cell=0.0 pbc="T T T"
Sb -1.9800 -1.7801 -0.5226
Sb 0.2261 -0.9901 2.5161
Sb -1.8414 1.7925 0.8708
Ga 0.0000 0.0000 0.0000
Sr -3.5953 -0.9778 2.8643

Entry 2:
18
Lattice="-2.0280 0.9481 6.5577 1.5396 -9.2896 1.8193 9.0404 1.9895 2.5081" Properties=species:S:1:pos:R:3 comment="Sr4GaSb4 GGA-PBE relaxed" sg="P4_2/nmc (137)" energy_ev_per_atom=-3.773 volume_a3_per_atom=35.4 magnetic_moment_mub_per_cell=0.0 pbc="T T T"
Sr 8.8360 -0.1651 4.9471
Sr 6.0420 -2.3719 8.0631
Sr 0.5305 -6.5677 3.3043
Sr 4.4804 -1.0214 3.0035
Sr 6.7860 -7.1561 8.2645
Sr 5.2851 -5.8979 3.9575
Sr 1.2965 -3.4127 6.7460
Sr 0.9515 1.1848 5.2542
Ga 0.0000 0.0000 0.0000
Ga 4.2760 -3.1760 5.4425
Sb 4.2083 -5.1895 7.2771
Sb 3.4771 -0.7574 6.4101
Sb 7.9901 -7.5705 5.1299
Sb 7.8113 0.5190 8.0982
Sb -0.4208 -6.3280 6.5424
Sb 2.5527 -3.8515 3.4429
Sb 6.8658 -2.9057 4.6400
Sb 1.7232 0.6755 1.9996

Entry 3:
24
Lattice="5.1996 0.0000 0.0000 0.0000 8.6565 0.0000 0.0000 0.0000 19.8986" Properties=species:S:1:pos:R:3 comment="Sr4GaSb GGA-PBE relaxed" sg="Pnma (62)" energy_ev_per_atom=-2.902 volume_a3_per_atom=37.3 magnetic_moment_mub_per_cell=0.0 pbc="T T T"
Sr 3.8997 7.5101 12.8986
Sr 1.2999 1.1464 7.0000
Sr 1.2999 5.4747 2.9493
Sr 3.8997 3.1819 16.9493
Sr 3.8997 7.4300 8.7635
Sr 1.2999 1.2265 11.1351
Sr 1.2999 5.5548 18.7128
Sr 3.8997 3.1017 1.1858
Sr 3.8997 8.5162 18.5930
Sr 1.2999 0.1403 1.3056
Sr 1.2999 4.4686 8.6437
Sr 3.8997 4.1880 11.2549
Sr 3.8997 8.3690 4.3976
Sr 1.2999 0.2876 15.5010
Sr 1.2999 4.6158 14.3469
Sr 3.8997 4.0407 5.5517
Ga 3.8997 2.2399 8.6296
Ga 1.2999 6.4166 11.2690
Ga 1.2999 2.0883 18.5789
Ga 3.8997 6.5682 1.3197
Sb 3.8997 6.3844 16.0740
Sb 1.2999 2.2721 3.8246
Sb 1.2999 6.6004 6.1247
Sb 3.8997 2.0562 13.7739

Entry 4:
10
Lattice="8.3808 0.0000 0.0000 0.0000 8.3808 0.0000 0.0000 0.0000 4.0751" Properties=species:S:1:pos:R:3 comment="SrGa2Sb2 GGA-PBE relaxed" sg="P4/mbm (127)" energy_ev_per_atom=-3.407 volume_a3_per_atom=28.6 magnetic_moment_mub_per_cell=0.0 pbc="T T T"
Sb 3.1561 7.3465 0.0000
Sb 7.3465 5.2247 0.0000
Sb 5.2247 1.0343 0.0000
Sb 1.0343 3.1561 0.0000
Ga 1.2589 5.4493 2.0376
Ga 5.4493 7.1219 2.0376
Ga 7.1219 2.9315 2.0376
Ga 2.9315 1.2589 2.0376
Sr 0.0000 0.0000 0.0000
Sr 4.1904 4.1904 0.0000